This record from Alexandria via LeMat-Bulk describes a relaxed structure of Al2ZnIr. The functional is PBE.

The formation enthalpy at 0 K comes out at -1.4 kJ/mol of atoms.

abc: 3.888 3.888 17.346
angles: 90.00 90.00 90.00
Space group I-42d (No. 122)
Symmetry-distinct sites (fractional):
Al 0.241 0.250 0.125 [8 per cell]
Zn 0.000 0.000 0.500 [4 per cell]
Ir 0.000 0.000 0.000 [4 per cell]


This record from Alexandria via LeMat-Bulk describes a relaxed structure of SmGdHoLu. The functional is PBE.

The formation enthalpy at 0 K comes out at 10.1 kJ/mol of atoms.

abc: 7.993 7.993 7.993
angles: 90.00 90.00 90.00
Space group F-43m (No. 216)
Symmetry-distinct sites (fractional):
Sm 0.000 0.000 0.000 [4 per cell]
Gd 0.000 0.000 0.500 [4 per cell]
Ho 0.250 0.250 0.750 [4 per cell]
Lu 0.250 0.250 0.250 [4 per cell]


This record from Alexandria via LeMat-Bulk describes a relaxed structure of KFeSe2. The functional is PBE.

abc: 3.5611 3.5611 28.9410
angles: 90.00 90.00 120.00
Space group R3m (No. 160, hexagonal axes)
Symmetry-distinct sites (fractional):
K 0.0000 0.0000 0.0000 [3 per cell]
Fe 0.0000 0.0000 0.2319 [3 per cell]
Se 0.0000 0.0000 0.5366 [3 per cell]
Se 0.0000 0.0000 0.7522 [3 per cell]


This record from Alexandria via LeMat-Bulk describes a relaxed structure of TaAlGa2Ge. The functional is PBE.

The formation enthalpy at 0 K comes out at 92.2 kJ/mol of atoms.

abc: 4.643 4.643 5.076
angles: 90.00 90.00 90.00
Space group P4/mmm (No. 123)
Symmetry-distinct sites (fractional):
Ta 0.000 0.000 0.000 [1 per cell]
Al 0.000 0.000 0.500 [1 per cell]
Ga 0.000 0.500 0.500 [2 per cell]
Ge 0.500 0.500 0.000 [1 per cell]


This record from Alexandria via LeMat-Bulk describes a relaxed structure of Ce3Pm2Sn3. The functional is PBE.

The formation enthalpy at 0 K comes out at -51.5 kJ/mol of atoms.

abc: 9.2803 9.2803 6.7049
angles: 90.00 90.00 120.00
Space group P6_3/mcm (No. 193)
Symmetry-distinct sites (fractional):
Ce 0.0000 0.2429 0.2500 [6 per cell]
Pm 0.3333 0.6667 0.0000 [4 per cell]
Sn 0.0000 0.3937 0.7500 [6 per cell]


This record from Alexandria via LeMat-Bulk describes a relaxed structure of Y2VCu. The functional is PBE.

As for the excess energy over the best structure of this formula in the dataset: 632 meV/atom. The formation enthalpy at 0 K comes out at 75.6 kJ/mol of atoms.

abc: 4.389 4.389 19.873
angles: 90.00 90.00 90.00
Space group I-42d (No. 122)
Symmetry-distinct sites (fractional):
Y 0.242 0.250 0.125 [8 per cell]
V 0.000 0.000 0.500 [4 per cell]
Cu 0.000 0.000 0.000 [4 per cell]


This record from Alexandria via LeMat-Bulk describes a relaxed structure of LiRhN2O. The functional is PBE.

abc: 3.743 3.743 4.351
angles: 90.00 90.00 90.00
Space group P4/mmm (No. 123)
Symmetry-distinct sites (fractional):
Li 0.000 0.000 0.000 [1 per cell]
Rh 0.500 0.500 0.500 [1 per cell]
N 0.000 0.500 0.500 [2 per cell]
O 0.500 0.500 0.000 [1 per cell]


This record from Alexandria via LeMat-Bulk describes a relaxed structure of Tm2Pd7Pb2. The functional is PBE.

The formation enthalpy at 0 K comes out at -23.1 kJ/mol of atoms.

abc: 9.069 9.841 5.583
angles: 90.00 90.00 90.00
Space group Cmmm (No. 65)
Symmetry-distinct sites (fractional):
Tm 0.212 0.000 0.000 [4 per cell]
Pd 0.000 0.000 0.500 [2 per cell]
Pd 0.000 0.500 0.237 [4 per cell]
Pd 0.250 0.250 0.241 [8 per cell]
Pb 0.000 0.268 0.500 [4 per cell]


Number 1: calculated density 7.89 g/cm³, final energy -70.71 eV/cell. Number 2: calculated density 8.42 g/cm³, final energy -109.93 eV/cell. Number 3: calculated density 3.96 g/cm³, final energy -47.01 eV/cell. Number 4: calculated density 6.37 g/cm³, final energy -21.49 eV/cell. Number 5: calculated density 7.08 g/cm³, final energy -87.17 eV/cell. Number 6: calculated density 5.07 g/cm³, final energy -92.03 eV/cell. Number 7: calculated density 4.19 g/cm³, final energy -27.85 eV/cell. Number 8: calculated density 9.98 g/cm³, final energy -110.68 eV/cell.